No. 1
This record from Alexandria describes a relaxed structure of YTlCu. The functional is PBE-GGA.

a b c (Å): 4.6364 4.6364 3.6355
angles (deg): 90.00 90.00 120.00
Last column: nearest neighbours and their distance in Å.
Space group P-6m2 (No. 187)
Symmetry-distinct sites (fractional):
Y 0.0000 0.0000 0.0000 [1 per cell]  6 Tl 3.24, 6 Cu 3.24
Tl 0.6667 0.3333 0.5000 [1 per cell]  3 Cu 2.68
Cu 0.3333 0.6667 0.5000 [1 per cell]  3 Tl 2.68

No. 2
This record from Alexandria describes a relaxed structure of YTl2Cu. The functional is PBE-GGA.

a b c (Å): 4.4176 4.4176 21.4464
angles (deg): 90.00 90.00 90.00
Last column: nearest neighbours and their distance in Å.
Space group I-42d (No. 122)
Symmetry-distinct sites (fractional):
Y 0.0000 0.0000 0.0000 [4 per cell]  4 Cu 3.12, 4 Tl 3.13
Tl 0.2329 0.2500 0.6250 [8 per cell]  4 Tl 3.02-3.23, 2 Cu 3.08, 2 Y 3.13
Cu 0.0000 0.0000 0.5000 [4 per cell]  4 Tl 3.08, 4 Y 3.12

As for the polymorph energy (0 for the lowest one): 0.198 eV per atom.

No. 3
This record from Alexandria describes a relaxed structure of Y12TlCu6. The functional is PBE-GGA.

a b c (Å): 9.9050 9.9050 9.9050
angles (deg): 90.00 90.00 90.00
Last column: nearest neighbours and their distance in Å.
Space group Im-3 (No. 204)
Symmetry-distinct sites (fractional):
Y 0.0000 0.2978 0.1884 [24 per cell]  3 Cu 2.74-3.00
Tl 0.0000 0.0000 0.0000 [2 per cell]  12 Y 3.49
Cu 0.0000 0.1234 0.5000 [12 per cell]  1 Cu 2.44, 2 Y 2.74

Number 1: DFT formation energy -0.24 eV/atom. Number 2: DFT formation energy 0.11 eV/atom. Number 3: DFT formation energy -0.21 eV/atom.